No. 1
Computed, not measured: ZnCd2P after structural relaxation at the PBE-GGA level of DFT.

The structure belongs to space group I-42d (No. 122); the cell edges are 6.456, 6.456 and 10.927 Å and the angles 90.00°, 90.00° and 90.00°. Symmetry generates all atoms from Zn at (0.000, 0.000, 0.000), Cd at (0.210, 0.250, 0.625) and P at (0.000, 0.000, 0.500).

The energy above the most stable polymorph in this dataset is 209 meV/atom. The size of the total moment comes out at 0.00 Bohr magnetons per cell.

=====

No. 2
Computed, not measured: Mg3In4Hg16 after structural relaxation at the PBE-GGA level of DFT.

The structure belongs to space group P2/m (No. 10); the cell edges are 6.456, 7.849 and 12.532 Å and the angles 90.00°, 104.43° and 90.00°. Symmetry generates all atoms from Mg at (0.000, 0.000, 0.000), Mg at (0.000, 0.500, 0.500), Mg at (0.500, 0.000, 0.500), In at (0.130, 0.500, 0.786), In at (0.380, 0.000, 0.209), Hg at (0.145, 0.000, 0.799), Hg at (0.183, 0.240, 0.372), Hg at (0.267, 0.291, 0.005), Hg at (0.309, 0.248, 0.627) and Hg at (0.366, 0.500, 0.222).

The size of the total moment comes out at 0.00 Bohr magnetons per cell. The final energy comes out at -0.923 eV/atom.

=====

No. 3
Computed, not measured: Cd2FeHg after structural relaxation at the PBE-GGA level of DFT.

The structure belongs to space group R3m (No. 160, hexagonal axes); the cell edges are 2.9968, 2.9968 and 30.7736 Å and the angles 90.00°, 90.00° and 120.00°. Symmetry generates all atoms from Cd at (0.0000, 0.0000, 0.0000), Cd at (0.0000, 0.0000, 0.2399), Fe at (0.0000, 0.0000, 0.5005) and Hg at (0.0000, 0.0000, 0.7606).

The size of the total moment comes out at 8.62 Bohr magnetons per cell. The final energy comes out at -2.355 eV/atom.

=====

No. 4
Computed, not measured: Sc3PN after structural relaxation at the PBE-GGA level of DFT.

The structure belongs to space group C2/c (No. 15); the cell edges are 10.286, 11.710 and 5.550 Å and the angles 90.00°, 97.44° and 90.00°. Symmetry generates all atoms from Sc at (0.094, 0.134, 0.058), Sc at (0.121, 0.299, 0.602), Sc at (0.122, 0.430, 0.111), P at (0.177, 0.084, 0.531), N at (0.000, 0.292, 0.250) and N at (0.000, 0.434, 0.750).

The size of the total moment comes out at 0.00 Bohr magnetons per cell. Its uncorrected formation energy is -1.298 eV per atom.

=====

No. 5
Computed, not measured: Rb4AcU3S12 after structural relaxation at the PBE-GGA level of DFT.

The structure belongs to space group Im-3m (No. 229); the cell edges are 10.646, 10.646 and 10.646 Å and the angles 90.00°, 90.00° and 90.00°. Symmetry generates all atoms from Rb at (0.250, 0.250, 0.250), Ac at (0.000, 0.000, 0.000), U at (0.000, 0.000, 0.500), S at (0.000, 0.000, 0.268) and S at (0.000, 0.250, 0.500).

The size of the total moment comes out at 2.10 Bohr magnetons per cell. Its uncorrected formation energy is -1.369 eV per atom.

=====

No. 6
Computed, not measured: In2NiW after structural relaxation at the PBE-GGA level of DFT.

The structure belongs to space group P4/mmm (No. 123); the cell edges are 4.797, 4.797 and 3.037 Å and the angles 90.00°, 90.00° and 90.00°. Symmetry generates all atoms from In at (0.000, 0.500, 0.000), Ni at (0.000, 0.000, 0.500) and W at (0.500, 0.500, 0.500).

The energy above the most stable polymorph in this dataset is 160 meV/atom. The size of the total moment comes out at 0.00 Bohr magnetons per cell.

=====

No. 7
Computed, not measured: AlTc2P after structural relaxation at the PBE-GGA level of DFT.

The structure belongs to space group F-43m (No. 216); the cell edges are 6.120, 6.120 and 6.120 Å and the angles 90.00°, 90.00° and 90.00°. Symmetry generates all atoms from Al at (0.000, 0.000, 0.000), Tc at (0.000, 0.000, 0.500), Tc at (0.250, 0.250, 0.750) and P at (0.250, 0.250, 0.250).

The energy above the most stable polymorph in this dataset is 449 meV/atom. The size of the total moment comes out at 0.00 Bohr magnetons per cell.

=====

No. 8
Computed, not measured: Dy2In8Cu after structural relaxation at the PBE-GGA level of DFT.

The structure belongs to space group P4/mmm (No. 123); the cell edges are 4.680, 4.680 and 12.190 Å and the angles 90.00°, 90.00° and 90.00°. Symmetry generates all atoms from Dy at (0.000, 0.000, 0.191), In at (0.000, 0.500, 0.000), In at (0.000, 0.500, 0.375), In at (0.500, 0.500, 0.192) and Cu at (0.000, 0.000, 0.500).

The size of the total moment comes out at 0.00 Bohr magnetons per cell. The final energy comes out at -3.484 eV/atom.

=====

No. 9
Computed, not measured: YLu3Ir after structural relaxation at the PBE-GGA level of DFT.

The structure belongs to space group Pm-3m (No. 221); the cell edges are 5.321, 5.321 and 5.321 Å and the angles 90.00°, 90.00° and 90.00°. Symmetry generates all atoms from Y at (0.000, 0.000, 0.000), Lu at (0.000, 0.500, 0.500) and Ir at (0.500, 0.500, 0.500).

The size of the total moment comes out at 0.02 Bohr magnetons per cell. The final energy comes out at -6.094 eV/atom.

=====

No. 10
Computed, not measured: NaS after structural relaxation at the PBE-GGA level of DFT.

The structure belongs to space group F-43m (No. 216); the cell edges are 6.369, 6.369 and 6.369 Å and the angles 90.00°, 90.00° and 90.00°. Symmetry generates all atoms from Na at (0.000, 0.000, 0.000) and S at (0.250, 0.250, 0.750).

The energy above the most stable polymorph in this dataset is 685 meV/atom. The size of the total moment comes out at 4.00 Bohr magnetons per cell. Its uncorrected formation energy is -0.145 eV per atom.

=====

No. 11
Computed, not measured: LiYIr2 after structural relaxation at the PBE-GGA level of DFT.

The structure belongs to space group P4mm (No. 99); the cell edges are 2.883, 2.883 and 8.624 Å and the angles 90.00°, 90.00° and 90.00°. Symmetry generates all atoms from Li at (0.000, 0.000, 0.000), Y at (0.500, 0.500, 0.321), Ir at (0.000, 0.000, 0.589) and Ir at (0.500, 0.500, 0.787).

The size of the total moment comes out at 0.00 Bohr magnetons per cell. The final energy comes out at -6.433 eV/atom.

=====

No. 12
Computed, not measured: NaInBr2Cl after structural relaxation at the PBE-GGA level of DFT.

The structure belongs to space group P4/mmm (No. 123); the cell edges are 6.158, 6.158 and 4.830 Å and the angles 90.00°, 90.00° and 90.00°. Symmetry generates all atoms from Na at (0.000, 0.000, 0.000), In at (0.500, 0.500, 0.000), Br at (0.000, 0.500, 0.500) and Cl at (0.000, 0.000, 0.500).

The energy above the most stable polymorph in this dataset is 435 meV/atom. The size of the total moment comes out at 0.00 Bohr magnetons per cell. Its uncorrected formation energy is -0.540 eV per atom.

=====

No. 13
Computed, not measured: AlFeAs2 after structural relaxation at the PBE-GGA level of DFT.

The structure belongs to space group F-43m (No. 216); the cell edges are 6.371, 6.371 and 6.371 Å and the angles 90.00°, 90.00° and 90.00°. Symmetry generates all atoms from Al at (0.000, 0.000, 0.000), Fe at (0.250, 0.250, 0.250), As at (0.000, 0.000, 0.500) and As at (0.250, 0.250, 0.750).

The size of the total moment comes out at 7.96 Bohr magnetons per cell. The final energy comes out at -4.958 eV/atom.

=====

No. 14
Computed, not measured: ZnIn2Re after structural relaxation at the PBE-GGA level of DFT.

The structure belongs to space group P2/m (No. 10); the cell edges are 2.869, 4.926 and 5.278 Å and the angles 90.00°, 91.51° and 90.00°. Symmetry generates all atoms from Zn at (0.000, 0.000, 0.000), In at (0.214, 0.500, 0.253) and Re at (0.500, 0.000, 0.500).

The size of the total moment comes out at 0.00 Bohr magnetons per cell. The final energy comes out at -4.263 eV/atom.

=====

No. 15
Computed, not measured: Ti2CuHg2 after structural relaxation at the PBE-GGA level of DFT.

The structure belongs to space group P4/mbm (No. 127); the cell edges are 6.666, 6.666 and 4.366 Å and the angles 90.00°, 90.00° and 90.00°. Symmetry generates all atoms from Ti at (0.138, 0.362, 0.000), Cu at (0.000, 0.000, 0.000) and Hg at (0.164, 0.664, 0.500).

The energy above the most stable polymorph in this dataset is 51 meV/atom. The size of the total moment comes out at 2.44 Bohr magnetons per cell.

=====

No. 16
Computed, not measured: ScNiSb2Te after structural relaxation at the PBE-GGA level of DFT.

The structure belongs to space group P4/mmm (No. 123); the cell edges are 5.424, 5.424 and 5.399 Å and the angles 90.00°, 90.00° and 90.00°. Symmetry generates all atoms from Sc at (0.000, 0.000, 0.000), Ni at (0.500, 0.500, 0.500), Sb at (0.000, 0.500, 0.000) and Te at (0.000, 0.000, 0.500).

The energy above the most stable polymorph in this dataset is 580 meV/atom. The size of the total moment comes out at 0.64 Bohr magnetons per cell. Its uncorrected formation energy is 0.643 eV per atom.

=====

No. 17
Computed, not measured: SrPtS after structural relaxation at the PBE-GGA level of DFT.

The structure belongs to space group P6_3/mmc (No. 194); the cell edges are 4.9787, 4.9787 and 9.0057 Å and the angles 90.00°, 90.00° and 120.00°. Symmetry generates all atoms from Sr at (0.3333, 0.6667, 0.2500), Pt at (0.0000, 0.0000, 0.0000) and S at (0.0000, 0.0000, 0.2500).

The size of the total moment comes out at 0.00 Bohr magnetons per cell. Its uncorrected formation energy is -0.917 eV per atom.

=====

No. 18
Computed, not measured: Hf2VHgBr after structural relaxation at the PBE-GGA level of DFT.

The structure belongs to space group P4/mmm (No. 123); the cell edges are 5.272, 5.272 and 5.640 Å and the angles 90.00°, 90.00° and 90.00°. Symmetry generates all atoms from Hf at (0.000, 0.500, 0.000), V at (0.000, 0.000, 0.500), Hg at (0.500, 0.500, 0.000) and Br at (0.500, 0.500, 0.500).

The size of the total moment comes out at 4.17 Bohr magnetons per cell. Its uncorrected formation energy is 1.632 eV per atom.

=====

No. 19
Computed, not measured: CePmTm2 after structural relaxation at the PBE-GGA level of DFT.

The structure belongs to space group R-3m (No. 166, hexagonal axes); the cell edges are 3.4251, 3.4251 and 36.6385 Å and the angles 90.00°, 90.00° and 120.00°. Symmetry generates all atoms from Ce at (0.0000, 0.0000, 0.0000), Pm at (0.0000, 0.0000, 0.5000) and Tm at (0.0000, 0.0000, 0.4082).

The energy above the most stable polymorph in this dataset is 132 meV/atom. The size of the total moment comes out at 0.21 Bohr magnetons per cell.

=====

No. 20
Computed, not measured: MnSb after structural relaxation at the PBE-GGA level of DFT.

The structure belongs to space group P-6m2 (No. 187); the cell edges are 3.5203, 3.5203 and 3.4634 Å and the angles 90.00°, 90.00° and 120.00°. Symmetry generates all atoms from Mn at (0.0000, 0.0000, 0.0000) and Sb at (0.6667, 0.3333, 0.5000).

The size of the total moment comes out at 2.16 Bohr magnetons per cell. Its uncorrected formation energy is 0.243 eV per atom.

=====

No. 21
Computed, not measured: Na2AcHgBi2 after structural relaxation at the PBE-GGA level of DFT.

The structure belongs to space group Pmc2_1 (No. 26); the cell edges are 4.809, 9.387 and 8.839 Å and the angles 90.00°, 90.00° and 90.00°. Symmetry generates all atoms from Na at (0.000, 0.070, 0.000), Na at (0.500, 0.164, 0.323), Ac at (0.500, 0.454, 0.925), Hg at (0.000, 0.305, 0.568), Bi at (0.000, 0.378, 0.195) and Bi at (0.500, 0.154, 0.705).

The size of the total moment comes out at 0.00 Bohr magnetons per cell. The final energy comes out at -2.940 eV/atom.

=====

No. 22
Computed, not measured: Si2TcW after structural relaxation at the PBE-GGA level of DFT.

The structure belongs to space group R3m (No. 160, hexagonal axes); the cell edges are 2.8920, 2.8920 and 24.0954 Å and the angles 90.00°, 90.00° and 120.00°. Symmetry generates all atoms from Si at (0.0000, 0.0000, 0.0000), Si at (0.0000, 0.0000, 0.2520), Tc at (0.0000, 0.0000, 0.5067) and W at (0.0000, 0.0000, 0.7511).

The energy above the most stable polymorph in this dataset is 344 meV/atom. The size of the total moment comes out at 0.00 Bohr magnetons per cell. Its uncorrected formation energy is -0.032 eV per atom.

=====

No. 23
Computed, not measured: Er2Mg5 after structural relaxation at the PBE-GGA level of DFT.

The structure belongs to space group Ibam (No. 72); the cell edges are 8.394, 13.744 and 6.264 Å and the angles 90.00°, 90.00° and 90.00°. Symmetry generates all atoms from Er at (0.155, 0.085, 0.000), Mg at (0.000, 0.279, 0.250), Mg at (0.000, 0.500, 0.250) and Mg at (0.228, 0.145, 0.500).

The size of the total moment comes out at 0.00 Bohr magnetons per cell. The final energy comes out at -2.429 eV/atom.

=====

No. 24
Computed, not measured: Ba2NaPd after structural relaxation at the PBE-GGA level of DFT.

The structure belongs to space group I-42d (No. 122); the cell edges are 9.438, 9.438 and 7.992 Å and the angles 90.00°, 90.00° and 90.00°. Symmetry generates all atoms from Ba at (0.179, 0.250, 0.125), Na at (0.000, 0.000, 0.500) and Pd at (0.000, 0.000, 0.000).

The energy above the most stable polymorph in this dataset is 194 meV/atom. The size of the total moment comes out at 0.00 Bohr magnetons per cell.

=====

| no. | V (Å³/atom) |
| --- | --- |
| 1 | 28.470 |
| 2 | 26.740 |
| 3 | 19.946 |
| 4 | 16.571 |
| 5 | 30.167 |
| 6 | 17.466 |
| 7 | 14.327 |
| 8 | 24.267 |
| 9 | 30.131 |
| 10 | 32.287 |
| 11 | 17.921 |
| 12 | 36.630 |
| 13 | 16.165 |
| 14 | 18.642 |
| 15 | 19.397 |
| 16 | 31.769 |
| 17 | 32.221 |
| 18 | 31.351 |
| 19 | 31.020 |
| 20 | 18.585 |
| 21 | 33.251 |
| 22 | 14.544 |
| 23 | 25.810 |
| 24 | 44.495 |